## PrGd2Mg (PBE)

Data for an optimized crystal structure of PrGd2Mg.

Properties
* energy relative to the lowest polymorph listed for this composition: 0.11 eV/f.u.
* E_tot: -8.64 eV/atom
* formation enthalpy at 0 K: -0.04 eV per formula unit

a = 5.0310 Å, b = 4.9784 Å, c = 4.9784 Å
α = 90.00°, β = 90.00°, γ = 90.00°
Closest atoms and distances in Å follow each position.
Sites, in units of the cell vectors:
Pr: 0.5000 0.5000 0.5000  4 Mg 3.52, 8 Gd 3.54
Mg: 0.5000 0.0000 0.0000  4 Pr 3.52, 8 Gd 3.54
Gd: 0.0000 0.0000 0.5000  4 Gd 3.52, 4 Pr 3.54, 4 Mg 3.54
Gd: 0.0000 0.5000 0.0000  4 Gd 3.52, 4 Pr 3.54, 4 Mg 3.54

---

## PrGdMgPt (PBE)

Data for an optimized crystal structure of PrGdMgPt.

Properties
* E_tot: -7.14 eV/atom
* formation enthalpy at 0 K: -2.07 eV per formula unit

a = 5.2110 Å, b = 5.2110 Å, c = 5.2110 Å
α = 60.00°, β = 60.00°, γ = 60.00°
Closest atoms and distances in Å follow each position.
Sites, in units of the cell vectors:
Pr: 0.0000 0.0000 0.0000  4 Pt 3.19, 4 Mg 3.19
Mg: 0.7500 0.7500 0.7500  4 Pr 3.19, 4 Gd 3.19
Gd: 0.5000 0.5000 0.5000  4 Pt 3.19, 4 Mg 3.19
Pt: 0.2500 0.2500 0.2500  4 Gd 3.19, 4 Pr 3.19

---

## PrGdMgRh (PBE)

Data for an optimized crystal structure of PrGdMgRh.

Properties
* E_tot: -7.27 eV/atom
* formation enthalpy at 0 K: -1.28 eV per formula unit

a = 5.1806 Å, b = 5.1806 Å, c = 5.1806 Å
α = 60.00°, β = 60.00°, γ = 60.00°
Closest atoms and distances in Å follow each position.
Sites, in units of the cell vectors:
Pr: 0.5000 0.5000 0.5000  4 Rh 3.17, 4 Mg 3.17
Mg: 0.7500 0.7500 0.7500  4 Gd 3.17, 4 Pr 3.17
Gd: 0.0000 0.0000 0.0000  4 Mg 3.17, 4 Rh 3.17
Rh: 0.2500 0.2500 0.2500  4 Gd 3.17, 4 Pr 3.17

---

## PrGdMgRu (PBE)

Data for an optimized crystal structure of PrGdMgRu.

Properties
* E_tot: -7.52 eV/atom
* formation enthalpy at 0 K: -0.36 eV per formula unit

a = 5.1452 Å, b = 5.1452 Å, c = 5.1452 Å
α = 60.00°, β = 60.00°, γ = 60.00°
Closest atoms and distances in Å follow each position.
Sites, in units of the cell vectors:
Pr: 0.0000 0.0000 0.0000  4 Ru 3.15, 4 Mg 3.15
Ru: 0.7500 0.7500 0.7500  4 Pr 3.15, 4 Gd 3.15
Mg: 0.2500 0.2500 0.2500  4 Gd 3.15, 4 Pr 3.15
Gd: 0.5000 0.5000 0.5000  4 Mg 3.15, 4 Ru 3.15

---

## PrGdMgSc (PBE)

Data for an optimized crystal structure of PrGdMgSc.

Properties
* E_tot: -6.68 eV/atom
* formation enthalpy at 0 K: 0.06 eV per formula unit

a = 5.4716 Å, b = 5.4716 Å, c = 5.4716 Å
α = 60.00°, β = 60.00°, γ = 60.00°
Closest atoms and distances in Å follow each position.
Sites, in units of the cell vectors:
Pr: 0.2500 0.2500 0.2500  4 Mg 3.35, 4 Sc 3.35
Sc: 0.0000 0.0000 0.0000  4 Pr 3.35, 4 Gd 3.35
Mg: 0.5000 0.5000 0.5000  4 Gd 3.35, 4 Pr 3.35
Gd: 0.7500 0.7500 0.7500  4 Mg 3.35, 4 Sc 3.35

---

## PrGdMgSi (PBE)

Data for an optimized crystal structure of PrGdMgSi.

Properties
* ΔE_f (raw): -6.55 kcal/mol of atoms
* E_tot: -6.75 eV/atom

a = 5.2099 Å, b = 5.2099 Å, c = 5.2099 Å
α = 60.00°, β = 60.00°, γ = 60.00°
Closest atoms and distances in Å follow each position.
Sites, in units of the cell vectors:
Pr: 0.0000 0.0000 0.0000  4 Mg 3.19, 4 Si 3.19
Si: 0.2500 0.2500 0.2500  4 Pr 3.19, 4 Gd 3.19
Gd: 0.5000 0.5000 0.5000  4 Mg 3.19, 4 Si 3.19
Mg: 0.7500 0.7500 0.7500  4 Gd 3.19, 4 Pr 3.19

---

## TbPrGdMg (PBE)

Data for an optimized crystal structure of TbPrGdMg.

Properties
* E_tot: -6.24 eV/atom
* formation enthalpy at 0 K: 0.13 eV per formula unit

a = 5.5969 Å, b = 5.5969 Å, c = 5.5969 Å
α = 60.00°, β = 60.00°, γ = 60.00°
Closest atoms and distances in Å follow each position.
Sites, in units of the cell vectors:
Pr: 0.7500 0.7500 0.7500  4 Mg 3.43, 4 Tb 3.43
Mg: 0.0000 0.0000 0.0000  4 Gd 3.43, 4 Pr 3.43
Gd: 0.2500 0.2500 0.2500  4 Tb 3.43, 4 Mg 3.43
Tb: 0.5000 0.5000 0.5000  4 Pr 3.43, 4 Gd 3.43

---

## PrGdMgTc (PBE)

Data for an optimized crystal structure of PrGdMgTc.

Properties
* E_tot: -7.63 eV/atom
* formation enthalpy at 0 K: 0.32 eV per formula unit

a = 5.1491 Å, b = 5.1491 Å, c = 5.1491 Å
α = 60.00°, β = 60.00°, γ = 60.00°
Closest atoms and distances in Å follow each position.
Sites, in units of the cell vectors:
Pr: 0.7500 0.7500 0.7500  4 Mg 3.15, 4 Tc 3.15
Mg: 0.0000 0.0000 0.0000  4 Gd 3.15, 4 Pr 3.15
Gd: 0.2500 0.2500 0.2500  4 Tc 3.15, 4 Mg 3.15
Tc: 0.5000 0.5000 0.5000  4 Pr 3.15, 4 Gd 3.15

---

## PrGdThMg (PBE)

Data for an optimized crystal structure of PrGdThMg.

Properties
* E_tot: -6.82 eV/atom
* formation enthalpy at 0 K: 0.58 eV per formula unit

a = 5.6135 Å, b = 5.6135 Å, c = 5.6135 Å
α = 60.00°, β = 60.00°, γ = 60.00°
Closest atoms and distances in Å follow each position.
Sites, in units of the cell vectors:
Pr: 0.0000 0.0000 0.0000  4 Th 3.44, 4 Mg 3.44
Mg: 0.2500 0.2500 0.2500  4 Gd 3.44, 4 Pr 3.44
Gd: 0.5000 0.5000 0.5000  4 Mg 3.44, 4 Th 3.44
Th: 0.7500 0.7500 0.7500  4 Gd 3.44, 4 Pr 3.44

---

## PrGdMgTl (PBE)

Data for an optimized crystal structure of PrGdMgTl.

Properties
* E_tot: -5.96 eV/atom
* formation enthalpy at 0 K: -1.04 eV per formula unit

a = 5.4720 Å, b = 5.4720 Å, c = 5.4720 Å
α = 60.00°, β = 60.00°, γ = 60.00°
Closest atoms and distances in Å follow each position.
Sites, in units of the cell vectors:
Pr: 0.7500 0.7500 0.7500  4 Tl 3.35, 4 Mg 3.35
Tl: 0.0000 0.0000 0.0000  4 Gd 3.35, 4 Pr 3.35
Gd: 0.2500 0.2500 0.2500  4 Tl 3.35, 4 Mg 3.35
Mg: 0.5000 0.5000 0.5000  4 Gd 3.35, 4 Pr 3.35

---

## PrGdMgZr (PBE)

Data for an optimized crystal structure of PrGdMgZr.

Properties
* E_tot: -7.10 eV/atom
* formation enthalpy at 0 K: 0.59 eV per formula unit

a = 5.4294 Å, b = 5.4294 Å, c = 5.4294 Å
α = 60.00°, β = 60.00°, γ = 60.00°
Closest atoms and distances in Å follow each position.
Sites, in units of the cell vectors:
Pr: 0.2500 0.2500 0.2500  4 Zr 3.32, 4 Mg 3.32
Mg: 0.5000 0.5000 0.5000  4 Gd 3.32, 4 Pr 3.32
Gd: 0.7500 0.7500 0.7500  4 Zr 3.32, 4 Mg 3.32
Zr: 0.0000 0.0000 0.0000  4 Pr 3.32, 4 Gd 3.32

---

## GdMgPt2 (PBE)

Data for an optimized crystal structure of GdMgPt2.

Properties
* E_tot: -7.90 eV/atom
* formation enthalpy at 0 K: -3.86 eV per formula unit

a = 3.4741 Å, b = 4.7164 Å, c = 4.7164 Å
α = 90.00°, β = 90.00°, γ = 90.00°
Closest atoms and distances in Å follow each position.
Sites, in units of the cell vectors:
Mg: 0.5000 0.0000 0.0000  8 Pt 2.93
Gd: 0.5000 0.5000 0.5000  8 Pt 2.93
Pt: 0.0000 0.0000 0.5000  4 Gd 2.93, 4 Mg 2.93
Pt: 0.0000 0.5000 0.0000  4 Gd 2.93, 4 Mg 2.93

---

Look up the E_tot of the fifth one. -6.68 eV/atom

---

Number 9 is which compound? PrGdThMg

---

Which of these has the lowest E_tot? PrGd2Mg

---

The lowest E_tot belongs to which entry? PrGd2Mg